Record 1
CoHg2IrPd | PBE | relaxed

The structure in POSCAR format:
```
CoHg2IrPd
1.0
5.027 0.000 0.000
0.000 5.027 0.000
0.000 0.000 4.531
Co Hg Ir Pd
1 2 1 1
Direct
0.000 0.000 0.000
0.000 0.500 0.500
0.500 0.000 0.500
0.500 0.500 0.000
0.000 0.000 0.500
```

Output
Energy of formation, eV/f.u.: 7.15
Crystal system: tetragonal
Space group: No. 123
Volume, Å³/cell: 114.5

***

Record 2
CoReHgIr2 | PBE | relaxed

The structure in POSCAR format:
```
CoReHgIr2
1.0
4.482 0.000 0.000
0.000 4.482 0.000
0.000 0.000 4.655
Co Re Hg Ir
1 1 1 2
Direct
0.000 0.000 0.000
0.500 0.500 0.500
0.000 0.000 0.500
0.000 0.500 0.000
0.500 0.000 0.000
```

Output
Energy of formation, eV/f.u.: 8.95
Crystal system: tetragonal
Space group: No. 123
Volume, Å³/cell: 93.5